one.
# Pm2Te2O5

A relaxed structure of Pm2Te2O5 (GGA-PBE, the Open Quantum Materials Database).

The structure in CIF format:
```
data_Pm2Te2O5
_chemical_formula_sum 'Pm2 Te2 O5'
_cell_length_a 4.1124
_cell_length_b 4.1124
_cell_length_c 8.6055
_cell_angle_alpha 90.00
_cell_angle_beta 90.00
_cell_angle_gamma 90.00
_space_group_name_H-M_alt 'P 1'
_space_group_IT_number 1
_space_group_name_Hall 'P 1'
loop_
_atom_site_label
_atom_site_type_symbol
_atom_site_fract_x
_atom_site_fract_y
_atom_site_fract_z
Pm1 Pm 0.0000 0.0000 0.2485
Pm2 Pm 0.0000 0.0000 0.7515
Te1 Te 0.5000 0.5000 0.0000
Te2 Te 0.5000 0.5000 0.5000
O1 O 0.0000 0.0000 0.0000
O2 O 0.0000 0.5000 0.3565
O3 O 0.0000 0.5000 0.6435
O4 O 0.5000 0.0000 0.3565
O5 O 0.5000 0.0000 0.6435
```

spin magnetization = 0.0 μB/cell
volume = 16.17 Å³/atom


two.
# Pm2Te2O5

A relaxed structure of Pm2Te2O5 (GGA-PBE, the Open Quantum Materials Database).

The structure in CIF format:
```
data_Pm2Te2O5
_chemical_formula_sum 'Pm2 Te2 O5'
_cell_length_a 4.3014
_cell_length_b 4.3014
_cell_length_c 7.1791
_cell_angle_alpha 90.00
_cell_angle_beta 90.00
_cell_angle_gamma 90.00
_space_group_name_H-M_alt 'P 1'
_space_group_IT_number 1
_space_group_name_Hall 'P 1'
loop_
_atom_site_label
_atom_site_type_symbol
_atom_site_fract_x
_atom_site_fract_y
_atom_site_fract_z
Pm1 Pm 0.0000 0.0000 0.0000
Pm2 Pm 0.0000 0.0000 0.5000
Te1 Te 0.5000 0.5000 0.2037
Te2 Te 0.5000 0.5000 0.7963
O1 O 0.0000 0.5000 0.2665
O2 O 0.0000 0.5000 0.7335
O3 O 0.5000 0.0000 0.2665
O4 O 0.5000 0.0000 0.7335
O5 O 0.5000 0.5000 0.5000
```

spin magnetization = 0.0 μB/cell
volume = 14.76 Å³/atom


The most stable of them is one.